The following is a meta-GGA SCAN calculation of a PBEsol-optimized structure of Sr2V2O7, from the Alexandria database.

a = 7.014 Å, b = 7.064 Å, c = 12.912 Å
α = 99.28°, β = 93.46°, γ = 91.04°
Positions (direct):
Sr1 0.075 0.343 0.344
Sr2 0.249 0.732 0.153
Sr3 0.327 0.287 0.639
Sr4 0.368 0.872 0.862
Sr5 0.632 0.128 0.138
Sr6 0.673 0.713 0.361
Sr7 0.751 0.268 0.847
Sr8 0.925 0.657 0.656
V1 0.159 0.820 0.418
V2 0.163 0.195 0.089
V3 0.219 0.397 0.890
V4 0.447 0.802 0.614
V5 0.553 0.198 0.386
V6 0.781 0.603 0.110
V7 0.837 0.805 0.911
V8 0.841 0.180 0.582
O1 0.009 0.328 0.545
O2 0.010 0.872 0.839
O3 0.048 0.973 0.352
O4 0.070 0.281 0.972
O5 0.073 0.433 0.787
O6 0.301 0.364 0.166
O7 0.302 0.658 0.672
O8 0.302 0.675 0.340
O9 0.306 0.939 0.532
O10 0.309 0.007 0.053
O11 0.314 0.602 0.958
O12 0.383 0.322 0.452
O13 0.391 0.249 0.839
O14 0.452 0.035 0.289
O15 0.548 0.965 0.711
O16 0.609 0.751 0.161
O17 0.617 0.678 0.548
O18 0.686 0.398 0.042
O19 0.691 0.993 0.947
O20 0.694 0.061 0.468
O21 0.698 0.325 0.660
O22 0.698 0.342 0.328
O23 0.699 0.636 0.834
O24 0.927 0.567 0.213
O25 0.930 0.719 0.028
O26 0.952 0.027 0.648
O27 0.990 0.128 0.161
O28 0.991 0.672 0.455

Values from the calculation:
Formation energy without anion corrections = -3.0479 eV per atom
DOS(E_F) = 0.0 states/eV per cell
Raw total energy = -626.69 eV for the cell shown
Space group = P-1

---

The following is a meta-GGA SCAN calculation of a PBEsol-optimized structure of SrV6O11, from the Alexandria database.

a = 5.655 Å, b = 5.655 Å, c = 13.142 Å
α = 90.00°, β = 90.00°, γ = 120.00°
Positions (direct):
Sr1 0.333 0.667 0.000
Sr2 0.667 0.333 0.500
V1 0.000 0.000 0.116
V2 0.000 0.000 0.410
V3 0.000 0.000 0.616
V4 0.000 0.000 0.910
V5 0.038 0.519 0.267
V6 0.333 0.667 0.537
V7 0.481 0.519 0.267
V8 0.481 0.962 0.267
V9 0.519 0.038 0.767
V10 0.519 0.481 0.767
V11 0.667 0.333 0.037
V12 0.962 0.481 0.767
O1 0.152 0.304 0.514
O2 0.152 0.848 0.514
O3 0.171 0.342 0.844
O4 0.171 0.343 0.180
O5 0.171 0.829 0.180
O6 0.171 0.829 0.844
O7 0.304 0.152 0.014
O8 0.333 0.667 0.368
O9 0.333 0.667 0.681
O10 0.342 0.171 0.344
O11 0.343 0.171 0.680
O12 0.657 0.829 0.180
O13 0.658 0.829 0.844
O14 0.667 0.333 0.181
O15 0.667 0.333 0.868
O16 0.696 0.848 0.514
O17 0.829 0.171 0.344
O18 0.829 0.171 0.680
O19 0.829 0.657 0.680
O20 0.829 0.658 0.344
O21 0.848 0.152 0.014
O22 0.848 0.696 0.014

Values from the calculation:
Formation energy without anion corrections = -2.7442 eV per atom
DOS(E_F) = 14.3 states/eV per cell
Raw total energy = -490.29 eV for the cell shown
Space group = P6_3mc

---

The following is a meta-GGA SCAN calculation of a PBEsol-optimized structure of Sr4V3O10, from the Alexandria database.

a = 14.131 Å, b = 14.131 Å, c = 14.131 Å
α = 164.51°, β = 164.51°, γ = 21.98°
Positions (direct):
Sr1 0.068 0.068 0.000
Sr2 0.202 0.202 0.000
Sr3 0.798 0.798 0.000
Sr4 0.932 0.932 0.000
V1 0.362 0.362 0.000
V2 0.500 0.500 0.000
V3 0.638 0.638 0.000
O1 0.000 0.500 0.500
O2 0.138 0.638 0.500
O3 0.292 0.292 0.000
O4 0.362 0.862 0.500
O5 0.431 0.431 0.000
O6 0.500 0.000 0.500
O7 0.569 0.569 0.000
O8 0.638 0.138 0.500
O9 0.708 0.708 0.000
O10 0.862 0.362 0.500

Values from the calculation:
Formation energy without anion corrections = -3.0583 eV per atom
DOS(E_F) = 6.0 states/eV per cell
Raw total energy = -255.87 eV for the cell shown
Space group = I4/mmm

---

The following is a meta-GGA SCAN calculation of a PBEsol-optimized structure of SrV2ZnO7, from the Alexandria database.

a = 7.428 Å, b = 6.644 Å, c = 13.362 Å
α = 90.00°, β = 117.50°, γ = 90.00°
Positions (direct):
Sr1 0.229 0.149 0.476
Sr2 0.229 0.351 0.976
Sr3 0.771 0.649 0.024
Sr4 0.771 0.851 0.524
V1 0.218 0.655 0.462
V2 0.218 0.845 0.962
V3 0.306 0.588 0.721
V4 0.306 0.912 0.221
V5 0.694 0.088 0.779
V6 0.694 0.412 0.279
V7 0.782 0.155 0.038
V8 0.782 0.345 0.538
Zn1 0.209 0.109 0.732
Zn2 0.209 0.391 0.232
Zn3 0.791 0.609 0.768
Zn4 0.791 0.891 0.268
O1 0.017 0.677 0.921
O2 0.017 0.823 0.421
O3 0.169 0.697 0.194
O4 0.169 0.803 0.694
O5 0.199 0.027 0.870
O6 0.199 0.473 0.370
O7 0.227 0.089 0.283
O8 0.227 0.411 0.783
O9 0.255 0.504 0.581
O10 0.255 0.996 0.081
O11 0.416 0.697 0.994
O12 0.416 0.803 0.494
O13 0.441 0.132 0.699
O14 0.441 0.368 0.199
O15 0.559 0.632 0.801
O16 0.559 0.868 0.301
O17 0.584 0.197 0.506
O18 0.584 0.303 0.006
O19 0.745 0.004 0.919
O20 0.745 0.496 0.419
O21 0.773 0.589 0.217
O22 0.773 0.911 0.717
O23 0.801 0.527 0.630
O24 0.801 0.973 0.130
O25 0.831 0.197 0.306
O26 0.831 0.303 0.806
O27 0.983 0.177 0.579
O28 0.983 0.323 0.079

Values from the calculation:
Formation energy without anion corrections = -2.6479 eV per atom
DOS(E_F) = 0.0 states/eV per cell
Raw total energy = -574.05 eV for the cell shown
Space group = P2_1/c

---

The following is a meta-GGA SCAN calculation of a PBEsol-optimized structure of Sr3W2O9, from the Alexandria database.

a = 7.190 Å, b = 7.190 Å, c = 7.190 Å
α = 85.15°, β = 85.15°, γ = 85.15°
Positions (direct):
Sr1 0.075 0.750 0.425
Sr2 0.250 0.575 0.925
Sr3 0.425 0.075 0.750
Sr4 0.575 0.925 0.250
Sr5 0.750 0.425 0.075
Sr6 0.925 0.250 0.575
W1 0.142 0.142 0.142
W2 0.358 0.358 0.358
W3 0.642 0.642 0.642
W4 0.858 0.858 0.858
O1 0.080 0.258 0.919
O2 0.081 0.920 0.742
O3 0.098 0.402 0.250
O4 0.242 0.420 0.581
O5 0.250 0.098 0.402
O6 0.258 0.919 0.080
O7 0.402 0.250 0.098
O8 0.419 0.758 0.580
O9 0.420 0.581 0.242
O10 0.580 0.419 0.758
O11 0.581 0.242 0.420
O12 0.598 0.750 0.902
O13 0.742 0.081 0.920
O14 0.750 0.902 0.598
O15 0.758 0.580 0.419
O16 0.902 0.598 0.750
O17 0.919 0.080 0.258
O18 0.920 0.742 0.081

Values from the calculation:
Formation energy without anion corrections = -2.8386 eV per atom
DOS(E_F) = 0.0 states/eV per cell
Raw total energy = -604.05 eV for the cell shown
Space group = R-3c

---

The following is a meta-GGA SCAN calculation of a PBEsol-optimized structure of SrWO4, from the Alexandria database.

a = 7.050 Å, b = 7.050 Å, c = 7.050 Å
α = 134.84°, β = 134.84°, γ = 65.79°
Positions (direct):
Sr1 0.375 0.125 0.250
Sr2 0.625 0.875 0.750
W1 0.125 0.375 0.750
W2 0.875 0.625 0.250
O1 0.064 0.223 0.369
O2 0.195 0.564 0.341
O3 0.277 0.146 0.841
O4 0.354 0.695 0.131
O5 0.646 0.305 0.869
O6 0.723 0.854 0.159
O7 0.805 0.436 0.659
O8 0.936 0.777 0.631

Values from the calculation:
Formation energy without anion corrections = -2.8572 eV per atom
DOS(E_F) = 0.0 states/eV per cell
Raw total energy = -268.06 eV for the cell shown
Space group = I4_1/a

---

The following is a meta-GGA SCAN calculation of a PBEsol-optimized structure of Sr2ZnWO6, from the Alexandria database.

a = 5.613 Å, b = 5.603 Å, c = 9.689 Å
α = 90.00°, β = 125.33°, γ = 90.00°
Positions (direct):
Sr1 0.247 0.023 0.251
Sr2 0.247 0.477 0.751
Sr3 0.753 0.523 0.249
Sr4 0.753 0.977 0.749
Zn1 0.500 0.000 0.000
Zn2 0.500 0.500 0.500
W1 0.000 0.000 0.500
W2 0.000 0.500 0.000
O1 0.180 0.233 0.969
O2 0.180 0.267 0.469
O3 0.236 0.713 0.970
O4 0.236 0.787 0.470
O5 0.298 0.009 0.740
O6 0.298 0.491 0.240
O7 0.702 0.509 0.760
O8 0.702 0.991 0.260
O9 0.764 0.213 0.530
O10 0.764 0.287 0.030
O11 0.820 0.733 0.531
O12 0.820 0.767 0.031

Values from the calculation:
Formation energy without anion corrections = -2.6829 eV per atom
DOS(E_F) = 0.0 states/eV per cell
Raw total energy = -383.94 eV for the cell shown
Space group = P2_1/c

---

The following is a meta-GGA SCAN calculation of a PBEsol-optimized structure of Sr2ZnWO6, from the Alexandria database.

a = 5.619 Å, b = 5.619 Å, c = 5.619 Å
α = 120.71°, β = 120.71°, γ = 88.77°
Positions (direct):
Sr1 0.250 0.750 0.500
Sr2 0.750 0.250 0.500
Zn1 0.000 0.000 0.000
W1 0.500 0.500 0.000
O1 0.214 0.694 0.908
O2 0.260 0.260 0.000
O3 0.306 0.214 0.520
O4 0.694 0.786 0.480
O5 0.740 0.740 0.000
O6 0.786 0.306 0.092

Values from the calculation:
Formation energy without anion corrections = -2.6824 eV per atom
DOS(E_F) = 0.0 states/eV per cell
Raw total energy = -191.97 eV for the cell shown
Space group = I4/m

---

The following is a meta-GGA SCAN calculation of a PBEsol-optimized structure of SrZnWO2, from the Alexandria database.

a = 4.256 Å, b = 4.256 Å, c = 4.732 Å
α = 90.00°, β = 90.00°, γ = 90.00°
Positions (direct):
Sr1 0.000 0.000 0.000
Zn1 0.500 0.500 0.500
W1 0.500 0.500 0.000
O1 0.000 0.500 0.500
O2 0.500 0.000 0.500

Values from the calculation:
Formation energy without anion corrections = 0.6421 eV per atom
DOS(E_F) = 3.9 states/eV per cell
Raw total energy = -114.73 eV for the cell shown
Space group = P4/mmm

---

The following is a meta-GGA SCAN calculation of a PBEsol-optimized structure of SrZnO2, from the Alexandria database.

a = 5.704 Å, b = 5.704 Å, c = 6.939 Å
α = 90.00°, β = 90.00°, γ = 90.00°
Positions (direct):
Sr1 0.000 0.000 0.000
Sr2 0.000 0.500 0.250
Sr3 0.500 0.000 0.750
Sr4 0.500 0.500 0.500
Zn1 0.000 0.000 0.500
Zn2 0.000 0.500 0.750
Zn3 0.500 0.000 0.250
Zn4 0.500 0.500 0.000
O1 0.188 0.750 0.625
O2 0.250 0.188 0.375
O3 0.250 0.312 0.875
O4 0.312 0.750 0.125
O5 0.688 0.250 0.125
O6 0.750 0.688 0.875
O7 0.750 0.812 0.375
O8 0.812 0.250 0.625

Values from the calculation:
Formation energy without anion corrections = -2.2287 eV per atom
DOS(E_F) = 0.0 states/eV per cell
Raw total energy = -228.67 eV for the cell shown
Space group = I-42d

---

The following is a meta-GGA SCAN calculation of a PBEsol-optimized structure of Sr4Zr3O10, from the Alexandria database.

a = 5.789 Å, b = 5.815 Å, c = 28.974 Å
α = 90.00°, β = 90.00°, γ = 90.00°
Positions (direct):
Sr1 0.005 0.031 0.070
Sr2 0.005 0.469 0.570
Sr3 0.010 0.532 0.706
Sr4 0.010 0.968 0.206
Sr5 0.490 0.032 0.706
Sr6 0.490 0.468 0.206
Sr7 0.495 0.531 0.070
Sr8 0.495 0.969 0.570
Sr9 0.505 0.031 0.430
Sr10 0.505 0.469 0.930
Sr11 0.510 0.532 0.794
Sr12 0.510 0.968 0.294
Sr13 0.990 0.032 0.794
Sr14 0.990 0.468 0.294
Sr15 0.995 0.531 0.430
Sr16 0.995 0.969 0.930
Zr1 0.000 0.000 0.500
Zr2 0.000 0.500 0.000
Zr3 0.001 0.501 0.858
Zr4 0.001 0.999 0.358
Zr5 0.499 0.001 0.858
Zr6 0.499 0.499 0.358
Zr7 0.500 0.000 0.000
Zr8 0.500 0.500 0.500
Zr9 0.501 0.501 0.642
Zr10 0.501 0.999 0.142
Zr11 0.999 0.001 0.642
Zr12 0.999 0.499 0.142
O1 0.066 0.522 0.212
O2 0.066 0.978 0.712
O3 0.074 0.519 0.930
O4 0.074 0.981 0.430
O5 0.213 0.713 0.349
O6 0.213 0.713 0.511
O7 0.213 0.787 0.011
O8 0.213 0.787 0.849
O9 0.214 0.714 0.631
O10 0.214 0.786 0.131
O11 0.286 0.214 0.631
O12 0.286 0.286 0.131
O13 0.287 0.213 0.349
O14 0.287 0.213 0.511
O15 0.287 0.287 0.011
O16 0.287 0.287 0.849
O17 0.426 0.019 0.930
O18 0.426 0.481 0.430
O19 0.434 0.022 0.212
O20 0.434 0.478 0.712
O21 0.566 0.522 0.288
O22 0.566 0.978 0.788
O23 0.574 0.519 0.570
O24 0.574 0.981 0.070
O25 0.713 0.713 0.151
O26 0.713 0.713 0.989
O27 0.713 0.787 0.489
O28 0.713 0.787 0.651
O29 0.714 0.714 0.869
O30 0.714 0.786 0.369
O31 0.786 0.214 0.869
O32 0.786 0.286 0.369
O33 0.787 0.213 0.151
O34 0.787 0.213 0.989
O35 0.787 0.287 0.489
O36 0.787 0.287 0.651
O37 0.926 0.019 0.570
O38 0.926 0.481 0.070
O39 0.934 0.022 0.288
O40 0.934 0.478 0.788

Values from the calculation:
Formation energy without anion corrections = -3.5528 eV per atom
DOS(E_F) = 0.0 states/eV per cell
Raw total energy = -1215.63 eV for the cell shown
Space group = Pbca

---

The following is a meta-GGA SCAN calculation of a PBEsol-optimized structure of Sr2Zr7O16, from the Alexandria database.

a = 9.641 Å, b = 9.641 Å, c = 9.641 Å
α = 38.69°, β = 38.69°, γ = 38.69°
Positions (direct):
Sr1 0.167 0.167 0.167
Sr2 0.833 0.833 0.833
Zr1 0.012 0.756 0.386
Zr2 0.244 0.614 0.988
Zr3 0.386 0.012 0.756
Zr4 0.500 0.500 0.500
Zr5 0.614 0.988 0.244
Zr6 0.756 0.386 0.012
Zr7 0.988 0.244 0.614
O1 0.072 0.072 0.072
O2 0.086 0.351 0.654
O3 0.177 0.733 0.463
O4 0.263 0.263 0.263
O5 0.267 0.537 0.823
O6 0.346 0.914 0.649
O7 0.351 0.654 0.086
O8 0.463 0.177 0.733
O9 0.537 0.823 0.267
O10 0.649 0.346 0.914
O11 0.654 0.086 0.351
O12 0.733 0.463 0.177
O13 0.737 0.737 0.737
O14 0.823 0.267 0.537
O15 0.914 0.649 0.346
O16 0.928 0.928 0.928

Values from the calculation:
Formation energy without anion corrections = -3.7338 eV per atom
DOS(E_F) = 0.0 states/eV per cell
Raw total energy = -452.49 eV for the cell shown
Space group = R-3